one | # ZnSiOF2 (PBE, optimized geometry)
# Total moment in Bohr magnetons per cell: 0.0
# Crystal system: tetragonal
data_ZnSiOF2
_chemical_formula_sum 'Zn1 Si1 O1 F2'
_space_group_name_H-M_alt 'P 4/m m m'
_space_group_IT_number 123
_space_group_name_Hall '-P 4 2'
_cell_length_a 4.237
_cell_length_b 4.237
_cell_length_c 3.359
_cell_angle_alpha 90.00
_cell_angle_beta 90.00
_cell_angle_gamma 90.00
loop_
_atom_site_label
_atom_site_type_symbol
_atom_site_fract_x
_atom_site_fract_y
_atom_site_fract_z
Zn1 Zn 0.000 0.000 0.000
Si1 Si 0.500 0.500 0.500
O1 O 0.500 0.500 0.000
F1 F 0.000 0.500 0.500

***

two | # ZnSiOF2 (PBE, optimized geometry)
# Total moment in Bohr magnetons per cell: 0.0
# Crystal system: tetragonal
data_ZnSiOF2
_chemical_formula_sum 'Zn1 Si1 O1 F2'
_space_group_name_H-M_alt 'P 4/m m m'
_space_group_IT_number 123
_space_group_name_Hall '-P 4 2'
_cell_length_a 3.926
_cell_length_b 3.926
_cell_length_c 4.123
_cell_angle_alpha 90.00
_cell_angle_beta 90.00
_cell_angle_gamma 90.00
loop_
_atom_site_label
_atom_site_type_symbol
_atom_site_fract_x
_atom_site_fract_y
_atom_site_fract_z
Zn1 Zn 0.000 0.000 0.000
Si1 Si 0.500 0.500 0.500
O1 O 0.000 0.000 0.500
F1 F 0.000 0.500 0.000

***

If you had to bet on the most stable structure above, which would it be? Bet on one.